Entry 1:
The following is a DFT calculation (GGA-PBEsol) of a relaxed structure of KCdF3.

The structure in POSCAR format:
```
KCdF3
1.0
4.3930 0.0000 0.0000
0.0000 4.3930 0.0000
0.0000 0.0000 4.3930
K Cd F
1 1 3
Cartesian
0.0000 0.0000 0.0000
2.1965 2.1965 2.1965
0.0000 2.1965 2.1965
2.1965 0.0000 2.1965
2.1965 2.1965 0.0000
```

Results
The uncorrected formation energy is -2.41 eV/atom. The calculation puts the density of states at the Fermi level at 0.00 states/eV/f.u.

Entry 2:
The following is a DFT calculation (GGA-PBEsol) of a relaxed structure of Be2SbOs.

The structure in POSCAR format:
```
Be2SbOs
1.0
3.0759 0.0000 0.0000
0.0000 3.0759 0.0000
0.0000 0.0000 5.5888
Be Sb Os
2 1 1
Cartesian
0.0000 0.0000 1.0326
0.0000 0.0000 4.5562
1.5380 1.5380 2.7944
1.5380 1.5380 0.0000
```

Results
The uncorrected formation energy is 0.10 eV/atom. The calculation puts the density of states at the Fermi level at 0.92 states/eV/f.u.

Entry 3:
The following is a DFT calculation (GGA-PBEsol) of a relaxed structure of Zr3Cu4Si4.

The structure in POSCAR format:
```
Zr3Cu4Si4
1.0
-1.9535 3.1636 6.4958
1.9535 -3.1636 6.4958
1.9535 3.1636 -6.4958
Zr Cu Si
3 4 4
Cartesian
0.0000 0.0000 0.0000
1.9535 0.0000 4.8743
0.0000 3.1636 1.6214
1.9535 1.2133 -2.2019
1.9535 1.2133 2.2019
0.0000 1.9502 4.2938
0.0000 1.9502 8.6977
0.0000 0.0000 2.8024
1.9535 1.9518 0.0000
0.0000 1.2118 6.4958
0.0000 0.0000 10.1892
```

Results
The uncorrected formation energy is -0.66 eV/atom. The calculation puts the density of states at the Fermi level at 4.81 states/eV/f.u.